Li2In3Pb2 (PBE, relaxed); volume = 25.18 Å³/atom; formation enthalpy at 0 K = -0.092 eV per atom; density of states at the Fermi level = 0.318 states/eV/atom
1.0
-4.3010 -1.1027 -2.0106
-0.8922 -4.8930 4.5919
1.2998 12.6051 -3.7856
In Li Pb
3 2 2
Cartesian
-0.4461 -2.4465 2.2960
-2.6283 2.2589 -1.5244
-1.2650 4.3506 0.3201
-0.4406 1.3271 0.2147
-3.4528 5.2824 -1.4190
-2.9181 -0.4127 0.5607
-0.9752 7.0221 -1.7651

***

Li2InPb2 (PBE, relaxed); volume = 27.88 Å³/atom; formation enthalpy at 0 K = 0.005 eV per atom; energy above the lowest structure with this stoichiometry = 165.8 meV per atom; density of states at the Fermi level = 0.697 states/eV/atom
1.0
-4.0943 1.4505 -2.6831
2.7844 -3.9896 -1.5481
-3.5425 -3.7776 3.3636
In Li Pb
1 2 2
Cartesian
0.4915 -2.1762 -1.9264
-2.6286 -2.8031 2.4959
-0.9139 -0.9746 0.8678
-1.2798 -4.0650 -0.2446
-1.8014 -0.3629 -2.3048

***

LiIn2Pb4 (PBE, relaxed); volume = 28.79 Å³/atom; formation enthalpy at 0 K = -0.017 eV per atom; energy above the lowest structure with this stoichiometry = 0.0 meV per atom; density of states at the Fermi level = 0.410 states/eV/atom
1.0
3.4850 0.0000 0.0000
0.0000 8.1302 0.4470
-1.7425 -3.6822 6.9096
Li In Pb
1 2 4
Cartesian
0.0000 0.0000 0.0000
0.0000 -0.4224 3.0699
1.7425 4.8703 4.2867
0.0000 5.2451 1.4348
1.7425 -0.7972 5.9218
0.0000 2.2099 5.3176
1.7425 2.2380 2.0389

***

Li2In3Pb4 (PBE, relaxed); volume = 27.01 Å³/atom; formation enthalpy at 0 K = -0.097 eV per atom; density of states at the Fermi level = 0.333 states/eV/atom
1.0
-3.6164 -2.0286 2.4313
1.6083 -4.3748 3.3744
3.0775 4.2558 8.5327
In Pb Li
3 4 2
Cartesian
0.3476 -1.8733 8.5751
0.7218 -0.2743 5.7633
0.0000 0.0000 0.0000
1.3626 -0.4917 11.4144
-2.5668 -0.6081 5.2265
-0.2932 -1.6559 2.9241
3.6362 -1.5395 9.1119
-0.6132 -3.3582 5.7671
1.6826 1.2105 8.5714

***

LiIn2Pb2 (PBE, relaxed); volume = 28.80 Å³/atom; formation enthalpy at 0 K = 0.010 eV per atom; energy above the lowest structure with this stoichiometry = 76.8 meV per atom; density of states at the Fermi level = 0.445 states/eV/atom
1.0
7.8657 0.0000 0.0000
0.0000 7.8657 0.0000
0.0000 0.0000 4.6549
In Pb Li
4 4 2
Cartesian
2.7276 1.2052 2.3274
6.6605 2.7276 2.3274
5.1381 6.6605 2.3274
1.2052 5.1381 2.3274
1.1842 2.7487 0.0000
2.7487 6.6815 0.0000
5.1171 1.1842 0.0000
6.6815 5.1171 0.0000
0.0000 0.0000 0.0000
3.9329 3.9329 0.0000

***

LiInPb2 (PBE, relaxed); volume = 27.66 Å³/atom; formation enthalpy at 0 K = -0.051 eV per atom; density of states at the Fermi level = 0.387 states/eV/atom
1.0
-3.0355 -3.2484 -3.0612
2.3359 -2.3638 0.1921
-2.6096 -2.3354 5.0660
Li Pb In
1 2 1
Cartesian
-1.7230 -5.1486 2.4130
-2.5533 -2.3592 5.0354
-0.1932 -2.3258 2.6597
-1.5862 -2.7990 -0.2161